1.
Computed, not measured: a relaxed structure of LaTcRu at the PBE level of DFT.

Geometry as extended XYZ:
```
3
Lattice="2.9065 0.0000 0.0000 -1.4532 2.5171 0.0000 0.0000 0.0000 7.6619" Properties=species:S:1:pos:R:3 pbc="T T T"
La 0.0000 0.0000 0.0000
Tc 0.0000 1.6781 4.7881
Ru 1.4532 0.8390 2.8167
```

Values from the calculation:
theoretical density	10.01	g/cm3
calculated volume	56	Å³/cell
calculated formation energy	1.623	eV per formula unit
E above lowest polymorph	607	meV per atom
final energy	-7.649	eV per atom


2.
Computed, not measured: a relaxed structure of Sc2SbTe at the PBE level of DFT.

Geometry as extended XYZ:
```
4
Lattice="2.0446 1.1804 7.1416 -2.0446 1.1804 7.1416 0.0000 -2.3609 7.1416" Properties=species:S:1:pos:R:3 pbc="T T T"
Sc 0.0000 0.0000 0.0000
Sc 0.0000 0.0000 3.7930
Sb 0.0000 0.0000 12.6552
Te 0.0000 0.0000 9.0092
```

Values from the calculation:
theoretical density	5.45	g/cm3
formation energy from raw total energies	-1.016	eV per atom
calculated volume	103	Å³/cell
E above lowest polymorph	41	meV per atom
final energy	-5.997	eV per atom


3.
Computed, not measured: a relaxed structure of NaCa2Tl2 at the PBE level of DFT.

Geometry as extended XYZ:
```
5
Lattice="-2.2883 2.2883 8.7221 2.2883 -2.2883 8.7221 2.2883 2.2883 -8.7221" Properties=species:S:1:pos:R:3 pbc="T T T"
Na 0.0000 0.0000 0.0000
Ca 0.0000 0.0000 6.7735
Ca 0.0000 0.0000 10.6708
Tl 2.2883 0.0000 4.3611
Tl 0.0000 2.2883 4.3611
```

Values from the calculation:
theoretical density	4.65	g/cm3
calculated volume	183	Å³/cell
calculated formation energy	-0.015	eV per formula unit
E above lowest polymorph	301	meV per atom
final energy	-2.014	eV per atom


4.
Computed, not measured: a relaxed structure of La2HoSc at the PBE level of DFT.

Geometry as extended XYZ:
```
4
Lattice="1.7897 1.0333 11.5110 -1.7897 1.0333 11.5110 0.0000 -2.0665 11.5110" Properties=species:S:1:pos:R:3 pbc="T T T"
La 0.0000 0.0000 0.0000
La 0.0000 0.0000 5.9306
Ho 0.0000 0.0000 14.4332
Sc 0.0000 0.0000 20.2719
```

Values from the calculation:
theoretical density	6.34	g/cm3
calculated volume	128	Å³/cell
calculated formation energy	0.275	eV per formula unit
E above lowest polymorph	28	meV per atom
final energy	-5.122	eV per atom


5.
Computed, not measured: a relaxed structure of CaY4Zr at the PBE level of DFT.

Geometry as extended XYZ:
```
6
Lattice="0.0000 4.6265 4.6265 4.6265 0.0000 4.6265 4.6265 4.6265 0.0000" Properties=species:S:1:pos:R:3 pbc="T T T"
Ca 0.0000 0.0000 0.0000
Y 5.7692 3.4838 3.4838
Y 3.4838 5.7692 3.4838
Y 3.4838 3.4838 5.7692
Y 5.7692 5.7692 5.7692
Zr 2.3133 2.3133 2.3133
```

Values from the calculation:
theoretical density	4.08	g/cm3
calculated volume	198	Å³/cell
calculated formation energy	2.452	eV per formula unit
final energy	-5.659	eV per atom


6.
Computed, not measured: a relaxed structure of Zr4TeRu at the PBE level of DFT.

Geometry as extended XYZ:
```
6
Lattice="0.0000 3.9939 3.9939 3.9939 0.0000 3.9939 3.9939 3.9939 0.0000" Properties=species:S:1:pos:R:3 pbc="T T T"
Zr 0.9920 0.9920 0.9920
Zr 3.0019 3.0019 0.9920
Zr 3.0019 0.9920 3.0019
Zr 0.9920 3.0019 3.0019
Te 3.9939 3.9939 3.9939
Ru 5.9909 5.9909 5.9909
```

Values from the calculation:
theoretical density	7.74	g/cm3
formation energy from raw total energies	0.339	eV per atom
calculated volume	127	Å³/cell
final energy	-7.429	eV per atom


7.
Computed, not measured: a relaxed structure of KRb2Na2Tl5 at the PBE level of DFT.

Geometry as extended XYZ:
```
20
Lattice="11.6432 0.0000 0.0000 0.0000 11.6432 0.0000 0.0000 0.0000 5.4441" Properties=species:S:1:pos:R:3 pbc="T T T"
K 0.0000 0.0000 0.0000
K 5.8216 5.8216 0.0000
Rb 2.1522 3.6694 0.0000
Rb 3.6694 9.4910 0.0000
Rb 7.9738 2.1522 0.0000
Rb 9.4910 7.9738 0.0000
Na 1.2988 7.1204 0.0000
Na 4.5228 1.2988 0.0000
Na 7.1204 10.3444 0.0000
Na 10.3444 4.5228 0.0000
Tl 0.0000 5.8216 2.7221
Tl 0.6427 9.1383 2.7221
Tl 2.5049 0.6427 2.7221
Tl 3.3167 6.4643 2.7221
Tl 5.1789 3.3167 2.7221
Tl 5.8216 0.0000 2.7221
Tl 6.4643 8.3265 2.7221
Tl 8.3265 5.1789 2.7221
Tl 9.1383 11.0005 2.7221
Tl 11.0005 2.5049 2.7221
```

Values from the calculation:
theoretical density	5.75	g/cm3
calculated volume	738	Å³/cell
calculated formation energy	-0.192	eV per formula unit
final energy	-1.769	eV per atom


8.
Computed, not measured: a relaxed structure of Sr2LaBr at the PBE level of DFT.

Geometry as extended XYZ:
```
4
Lattice="-1.9302 3.2990 6.4750 1.9302 -3.2990 6.4750 1.9302 3.2990 -6.4750" Properties=species:S:1:pos:R:3 pbc="T T T"
Sr 0.0000 0.0000 0.0000
Sr 0.0000 3.2990 2.5403
La 0.0000 0.0000 5.2834
Br 1.9302 0.0000 2.7049
```

Values from the calculation:
theoretical density	3.97	g/cm3
formation energy from raw total energies	-0.477	eV per atom
calculated volume	165	Å³/cell
final energy	-2.968	eV per atom


9.
Computed, not measured: a relaxed structure of Pm2MgGa3Rh4 at the PBE level of DFT.

Geometry as extended XYZ:
```
10
Lattice="4.2412 0.0000 0.0000 0.0000 4.2412 0.0000 0.0000 0.0000 10.4996" Properties=species:S:1:pos:R:3 pbc="T T T"
Pm 0.0000 2.1206 2.4767
Pm 2.1206 0.0000 8.0229
Mg 0.0000 0.0000 5.2498
Ga 0.0000 2.1206 9.2069
Ga 2.1206 0.0000 1.2926
Ga 2.1206 2.1206 5.2498
Rh 0.0000 0.0000 0.0000
Rh 0.0000 2.1206 6.7307
Rh 2.1206 0.0000 3.7689
Rh 2.1206 2.1206 0.0000
```

Values from the calculation:
theoretical density	8.22	g/cm3
calculated volume	189	Å³/cell
calculated formation energy	-7.546	eV per formula unit
final energy	-5.713	eV per atom


10.
Computed, not measured: a relaxed structure of TaOsO3 at the PBE level of DFT.

Geometry as extended XYZ:
```
5
Lattice="3.8793 0.0000 0.0000 0.0000 3.8793 0.0000 0.0000 0.0000 3.8793" Properties=species:S:1:pos:R:3 pbc="T T T"
Ta 0.0000 0.0000 0.0000
Os 1.9397 1.9397 1.9397
O 0.0000 1.9397 1.9397
O 1.9397 0.0000 1.9397
O 1.9397 1.9397 0.0000
```

Values from the calculation:
theoretical density	11.92	g/cm3
formation energy from raw total energies	0.059	eV per atom
calculated volume	58	Å³/cell
final energy	-7.532	eV per atom


11.
Computed, not measured: a relaxed structure of TbTmOs at the PBE level of DFT.

Geometry as extended XYZ:
```
6
Lattice="1.7336 -7.9674 0.0000 1.7336 7.9674 0.0000 0.0000 0.0000 5.1319" Properties=species:S:1:pos:R:3 pbc="T T T"
Tb 1.7336 6.8196 3.8490
Tb 1.7336 -6.8196 1.2830
Tm 1.7336 4.6228 1.2830
Tm 1.7336 -4.6228 3.8490
Os 1.7336 1.1982 3.8490
Os 1.7336 -1.1982 1.2830
```

Values from the calculation:
theoretical density	12.14	g/cm3
calculated volume	142	Å³/cell
calculated formation energy	-0.391	eV per formula unit
E above lowest polymorph	126	meV per atom
final energy	-6.908	eV per atom


12.
Computed, not measured: a relaxed structure of Pm7Sn2Ir2 at the PBE level of DFT.

Geometry as extended XYZ:
```
11
Lattice="4.2106 -5.6017 0.0000 4.2106 5.6017 0.0000 0.0000 0.0000 7.2243" Properties=species:S:1:pos:R:3 pbc="T T T"
Pm 0.0000 0.0000 0.0000
Pm 2.1053 2.8008 1.8058
Pm 2.1053 2.8008 5.4185
Pm 2.1053 -2.8008 1.8058
Pm 2.1053 -2.8008 5.4185
Pm 4.2106 0.0000 1.7249
Pm 4.2106 0.0000 5.4994
Sn 1.4859 0.0000 3.6121
Sn 6.9352 0.0000 3.6121
Ir 4.2106 2.4023 0.0000
Ir 4.2106 -2.4023 0.0000
```

Values from the calculation:
theoretical density	7.98	g/cm3
calculated volume	341	Å³/cell
calculated formation energy	-5.559	eV per formula unit
final energy	-5.867	eV per atom


13.
Computed, not measured: a relaxed structure of Sm5In4 at the PBE level of DFT.

Geometry as extended XYZ:
```
18
Lattice="9.5206 0.0000 0.0000 -4.7603 8.2451 0.0000 0.0000 0.0000 6.7180" Properties=species:S:1:pos:R:3 pbc="T T T"
Sm -1.3875 2.4033 1.6795
Sm -3.3728 5.8418 5.0385
Sm 2.7751 0.0000 1.6795
Sm 1.3875 2.4033 5.0385
Sm 0.0000 5.4967 0.0000
Sm 0.0000 5.4967 3.3590
Sm 4.7603 2.7484 0.0000
Sm 4.7603 2.7484 3.3590
Sm 6.7456 0.0000 5.0385
Sm 3.3728 5.8418 1.6795
In 0.0000 0.0000 0.0000
In 0.0000 0.0000 3.3590
In -1.7564 3.0421 5.0385
In -3.0039 5.2030 1.6795
In 3.5127 0.0000 5.0385
In 1.7564 3.0421 1.6795
In 6.0079 0.0000 1.6795
In 3.0039 5.2030 5.0385
```

Values from the calculation:
theoretical density	7.63	g/cm3
calculated volume	527	Å³/cell
calculated formation energy	-3.901	eV per formula unit
final energy	-4.272	eV per atom


14.
Computed, not measured: a relaxed structure of CaTlTc at the PBE level of DFT.

Geometry as extended XYZ:
```
3
Lattice="-1.8205 1.8205 5.1993 1.8205 -1.8205 5.1993 1.8205 1.8205 -5.1993" Properties=species:S:1:pos:R:3 pbc="T T T"
Ca 0.0000 0.0000 0.0000
Tl 0.0000 0.0000 3.0650
Tc 0.0000 0.0000 7.1856
```

Values from the calculation:
theoretical density	8.25	g/cm3
calculated volume	69	Å³/cell
calculated formation energy	1.334	eV per formula unit
E above lowest polymorph	0	meV per atom
final energy	-4.467	eV per atom


15.
Computed, not measured: a relaxed structure of Ti2AlO at the PBE level of DFT.

Geometry as extended XYZ:
```
4
Lattice="1.4617 0.8439 7.0688 -1.4617 0.8439 7.0688 0.0000 -1.6878 7.0688" Properties=species:S:1:pos:R:3 pbc="T T T"
Ti 0.0000 0.0000 0.0000
Ti 0.0000 0.0000 4.4446
Al 0.0000 0.0000 9.2733
O 0.0000 0.0000 12.8343
```

Values from the calculation:
theoretical density	4.40	g/cm3
formation energy from raw total energies	-1.454	eV per atom
calculated volume	52	Å³/cell
E above lowest polymorph	0	meV per atom
final energy	-7.576	eV per atom


16.
Computed, not measured: a relaxed structure of Li3Pr at the PBE level of DFT.

Geometry as extended XYZ:
```
4
Lattice="-2.3101 2.3101 4.6038 2.3101 -2.3101 4.6038 2.3101 2.3101 -4.6038" Properties=species:S:1:pos:R:3 pbc="T T T"
Li 0.0000 0.0000 0.0000
Li 2.3101 0.0000 2.3019
Li 0.0000 2.3101 2.3019
Pr 0.0000 0.0000 4.6038
```

Values from the calculation:
theoretical density	2.73	g/cm3
calculated volume	98	Å³/cell
calculated formation energy	0.717	eV per formula unit
E above lowest polymorph	143	meV per atom
final energy	-2.451	eV per atom


17.
Computed, not measured: a relaxed structure of Sn4Pd4Au at the PBE level of DFT.

Geometry as extended XYZ:
```
18
Lattice="8.6687 0.0000 0.0000 0.0000 8.6687 0.0000 0.0000 0.0000 5.3549" Properties=species:S:1:pos:R:3 pbc="T T T"
Sn 0.6930 5.7158 0.9401
Sn 1.3815 7.9757 3.6176
Sn 2.9528 5.0273 3.6176
Sn 3.6413 7.2872 0.9401
Sn 5.0273 1.3815 4.4148
Sn 5.7158 3.6413 1.7374
Sn 7.2872 0.6930 1.7374
Sn 7.9757 2.9528 4.4148
Pd 0.2728 5.3772 3.6352
Pd 1.0429 8.3959 0.9578
Pd 3.2915 4.6071 0.9578
Pd 4.0615 7.6258 3.6352
Pd 4.6071 1.0429 1.7197
Pd 5.3772 4.0615 4.3971
Pd 7.6258 0.2728 4.3971
Pd 8.3959 3.2915 1.7197
Au 2.1672 2.1672 1.3387
Au 6.5015 6.5015 4.0162
```

Values from the calculation:
theoretical density	9.06	g/cm3
calculated volume	402	Å³/cell
calculated formation energy	-2.293	eV per formula unit
final energy	-4.706	eV per atom


18.
Computed, not measured: a relaxed structure of Na3FeCl at the PBE level of DFT.

Geometry as extended XYZ:
```
5
Lattice="5.6696 0.0000 0.0000 0.0000 5.6696 0.0000 0.0000 0.0000 5.6696" Properties=species:S:1:pos:R:3 pbc="T T T"
Na 0.0000 0.0000 2.8348
Na 0.0000 2.8348 0.0000
Na 2.8348 0.0000 0.0000
Fe 0.0000 0.0000 0.0000
Cl 2.8348 2.8348 2.8348
```

Values from the calculation:
theoretical density	1.46	g/cm3
formation energy from raw total energies	0.352	eV per atom
calculated volume	182	Å³/cell
E above lowest polymorph	303	meV per atom
final energy	-2.501	eV per atom


19.
Computed, not measured: a relaxed structure of Dy2Tc2Ge2C at the PBE level of DFT.

Geometry as extended XYZ:
```
7
Lattice="5.4950 -2.0049 0.0000 5.4950 2.0049 0.0000 -4.1157 0.0000 5.6699" Properties=species:S:1:pos:R:3 pbc="T T T"
Dy -0.4605 0.0000 1.6526
Dy 7.3347 0.0000 4.0174
Tc -0.4855 0.0000 5.1834
Tc 7.3597 0.0000 0.4865
Ge 2.5637 0.0000 1.8183
Ge 4.3106 0.0000 3.8517
C 5.4950 0.0000 0.0000
```

Values from the calculation:
theoretical density	9.02	g/cm3
calculated volume	125	Å³/cell
calculated formation energy	-4.207	eV per formula unit
final energy	-7.515	eV per atom


20.
Computed, not measured: a relaxed structure of Nd3Zn2BRu3 at the PBE level of DFT.

Geometry as extended XYZ:
```
9
Lattice="7.4906 0.0000 0.0000 -3.7453 6.4870 0.0000 0.0000 0.0000 3.5154" Properties=species:S:1:pos:R:3 pbc="T T T"
Nd -2.3935 4.1456 0.0000
Nd 1.3518 2.3414 0.0000
Nd 4.7869 0.0000 0.0000
Zn 0.0000 4.3247 1.7577
Zn 3.7453 2.1623 1.7577
B 0.0000 0.0000 0.0000
Ru -0.8142 1.4102 1.7577
Ru 1.6284 0.0000 1.7577
Ru 2.9311 5.0768 1.7577
```

Values from the calculation:
theoretical density	8.53	g/cm3
calculated volume	171	Å³/cell
calculated formation energy	-1.479	eV per formula unit
final energy	-5.871	eV per atom